[1]
{
  "formula": "Nd2Ho3Tl3",
  "functional": "GGA-PBE",
  "state": "optimized geometry",
  "cell": [[4.470, 0.000, -0.720], [-0.186, 4.796, -1.153], [-0.554, 0.035, 10.799]],
  "species": ["Tl", "Tl", "Tl", "Ho", "Ho", "Ho", "Nd", "Nd"],
  "frac_coords": [[0.877, 0.877, 0.753], [0.000, 0.500, 0.000], [0.123, 0.123, 0.247], [0.383, 0.383, 0.767], [0.500, 0.000, 0.000], [0.617, 0.617, 0.233], [0.260, 0.760, 0.520], [0.740, 0.240, 0.480]],
  "density_g_cm3": 10.09,
  "delta_e_f_mev_per_atom": -242,
  "vol_a3_per_cell": 229.8,
  "crystal_system": "orthorhombic"
}



[2]
{
  "formula": "Nd12HoTl3",
  "functional": "GGA-PBE",
  "state": "optimized geometry",
  "cell": [[-4.252, -2.384, 1.128], [2.106, -4.357, -1.269], [6.482, -2.467, 19.220]],
  "species": ["Nd", "Nd", "Nd", "Nd", "Nd", "Nd", "Nd", "Nd", "Nd", "Nd", "Nd", "Nd", "Tl", "Tl", "Tl", "Ho"],
  "frac_coords": [[0.500, 0.000, 0.130], [0.000, 0.500, 0.130], [0.500, 0.500, 0.500], [0.500, 0.000, 0.870], [0.500, 0.000, 0.377], [0.500, 0.500, 0.746], [0.500, 0.500, 0.000], [0.500, 0.000, 0.623], [0.500, 0.500, 0.254], [0.000, 0.500, 0.870], [0.000, 0.500, 0.623], [0.000, 0.500, 0.377], [0.000, 0.000, 0.256], [0.000, 0.000, 0.744], [0.000, 0.000, 0.500], [0.000, 0.000, 0.000]],
  "density_g_cm3": 8.15,
  "delta_e_f_mev_per_atom": -146,
  "vol_a3_per_cell": 511.4,
  "crystal_system": "tetragonal"
}



[3]
{
  "formula": "Nd6Ho5Tl",
  "functional": "GGA-PBE",
  "state": "optimized geometry",
  "cell": [[0.705, -1.208, -4.864], [3.498, -7.305, 4.952], [-9.410, 0.086, 1.245]],
  "species": ["Ho", "Ho", "Ho", "Ho", "Ho", "Nd", "Nd", "Nd", "Nd", "Nd", "Nd", "Tl"],
  "frac_coords": [[0.500, 0.831, 0.169], [0.000, 0.664, 0.336], [0.500, 0.169, 0.831], [0.500, 0.500, 0.500], [0.000, 0.336, 0.664], [0.746, 0.246, 0.246], [0.254, 0.754, 0.754], [0.246, 0.080, 0.412], [0.754, 0.588, 0.920], [0.246, 0.412, 0.080], [0.754, 0.920, 0.588], [0.000, 0.000, 0.000]],
  "density_g_cm3": 8.11,
  "delta_e_f_mev_per_atom": -33,
  "vol_a3_per_cell": 387.7,
  "crystal_system": "orthorhombic"
}



[4]
{
  "formula": "NdHo2Tl",
  "functional": "GGA-PBE",
  "state": "optimized geometry",
  "cell": [[3.587, 0.000, 0.000], [1.794, 3.107, 0.000], [1.794, 1.036, 11.027]],
  "species": ["Ho", "Ho", "Tl", "Nd"],
  "frac_coords": [[0.745, 0.745, 0.764], [0.255, 0.255, 0.236], [0.000, 0.000, 0.000], [0.500, 0.500, 0.500]],
  "density_g_cm3": 9.17,
  "delta_e_f_mev_per_atom": -114,
  "polymorph_energy_mev_per_atom": 65.7,
  "vol_a3_per_cell": 122.9,
  "crystal_system": "trigonal"
}